# LaNd4In2

Crystalline LaNd4In2 at its relaxed geometry (GGA-PBE, Alexandria).

Summary:
**Formation enthalpy at 0 K**: -0.201 eV per atom
**E above lowest polymorph**: 41 meV/atom
**Space-group type**: P2_1/m, No. 11
**Energy**: -4.41 eV/atom
**Total moment**: 0.000 μB per formula unit

POSCAR file:
```
LaNd4In2
1.0
-8.0322 1.9442 2.5624
-2.4910 -3.1978 -5.3823
3.4516 -7.4660 2.8383
La Nd In
2 8 4
Cartesian
-2.7184 -4.2899 -2.5194
-4.3533 -4.4296 2.5378
-5.0207 -2.2099 -0.5282
0.4453 -8.8515 -1.2735
-7.5170 0.1319 1.2919
-3.8063 -0.6510 2.0956
0.8874 -4.7040 0.2753
-3.2654 -8.0686 -2.0773
-2.0510 -6.5097 0.5466
-7.9591 -4.0156 -0.2569
-8.1600 -1.0674 -1.9155
1.0884 -7.6522 1.9339
-1.9565 -3.0851 0.6297
-5.1151 -5.6345 -0.6113
```